Computed, not measured: an optimized crystal structure of TaBe at the PBE level of DFT.

Lattice parameters (Å, degrees): 5.9049 7.7444 9.4821 90.00 90.00 90.00
Element x y z (fractional)
Ta  0.2500  0.5464  0.7500
Ta  0.2500  0.0464  0.2500
Ta  0.0000  0.7964  0.5000
Ta  0.7500  0.5464  0.2500
Ta  0.7500  0.0464  0.7500
Ta  0.0000  0.2964  0.0000
Ta  0.5000  0.7036  0.5000
Ta  0.7500  0.4536  0.7500
Ta  0.0000  0.7036  0.0000
Ta  0.5000  0.2964  0.5000
Ta  0.5000  0.7964  0.0000
Ta  0.2500  0.4536  0.2500
Ta  0.7500  0.9536  0.2500
Ta  0.0000  0.2036  0.5000
Ta  0.5000  0.2036  0.0000
Ta  0.2500  0.9536  0.7500
Be  0.4214  0.7500  0.2500
Be  0.3286  0.0000  0.5000
Be  0.9214  0.2500  0.2500
Be  0.0786  0.2500  0.7500
Be  0.8286  0.5000  0.5000
Be  0.6714  0.5000  0.0000
Be  0.3286  0.5000  0.0000
Be  0.4214  0.2500  0.7500
Be  0.1714  0.5000  0.5000
Be  0.9214  0.7500  0.7500
Be  0.1714  0.0000  0.0000
Be  0.6714  0.0000  0.5000
Be  0.0786  0.7500  0.2500
Be  0.5786  0.2500  0.2500
Be  0.5786  0.7500  0.7500
Be  0.8286  0.0000  0.0000

Calculated values
Total magnetic moment   0.0 μB per formula unit
Uncorrected energy   -245.957 eV/cell